This record from the Alexandria database describes a relaxed Pm12Ni5Hg crystal. The functional is PBE.

Lattice parameters (Å, degrees): 8.5331 8.5331 8.5331 112.00 109.23 107.22
Sites, in units of the cell vectors:
1 Pm 0.0208 0.2104 0.8104
2 Pm 0.1795 0.2972 0.4767
3 Pm 0.1795 0.7028 0.8824
4 Pm 0.3240 0.0193 0.6954
5 Pm 0.3240 0.6286 0.3046
6 Pm 0.4000 0.2104 0.1896
7 Pm 0.6000 0.7896 0.8104
8 Pm 0.6760 0.3714 0.6954
9 Pm 0.6760 0.9807 0.3046
10 Pm 0.8205 0.2972 0.1176
11 Pm 0.8205 0.7028 0.5233
12 Pm 0.9792 0.7896 0.1896
13 Ni 0.0000 0.0000 0.0000
14 Ni 0.1247 0.6247 0.5000
15 Ni 0.3669 0.0000 0.3669
16 Ni 0.6331 0.0000 0.6331
17 Ni 0.8753 0.3753 0.5000
18 Hg 0.5000 0.5000 0.0000

Calculated values
Calculated formation energy in eV per atom: -0.26
Size of the total moment in μB per formula unit: 0.00